No. 1
The following is a PBE-GGA calculation of a relaxed LaTbEr4 crystal, from Alexandria via LeMat-Bulk.

Calculated volume in Å³ per atom: 32.9
Energy relative to the elements in kJ/mol of formula units: 82
Total magnetization in μB per atom: 0.000
SG: C2/c
Fermi-level density of states in states/eV per cell: 20.84

Cell: 6.4241 9.0765 8.5814 Å, 112.50 99.67 112.97°
Last column: nearest neighbours and their distance in Å.
Atoms (fractional coordinates):
La  0.3328  0.5828  0.1655  10 Er 3.52-3.94
La  0.6672  0.4172  0.8345  10 Er 3.52-3.94
Tb  0.2481  0.9981  0.9961  2 Tb 3.21, 8 Er 3.37-3.59
Tb  0.7519  0.0019  0.0039  2 Tb 3.21, 8 Er 3.37-3.59
Er  0.0389  0.1579  0.7305  3 Er 3.29-3.50, 2 Tb 3.48-3.59, 2 La 3.52-3.65
Er  0.7444  0.7121  0.6106  5 Er 3.29-3.68, 2 Tb 3.37-3.38
Er  0.1916  0.5726  0.7305  3 Er 3.29-3.50, 2 Tb 3.48-3.59, 2 La 3.52-3.65
Er  0.3662  0.8985  0.6106  5 Er 3.29-3.68, 2 Tb 3.37-3.38
Er  0.6338  0.1015  0.3894  5 Er 3.29-3.68, 2 Tb 3.37-3.38
Er  0.8084  0.4274  0.2695  3 Er 3.29-3.50, 2 Tb 3.48-3.59, 2 La 3.52-3.65
Er  0.2556  0.2879  0.3894  5 Er 3.29-3.68, 2 Tb 3.37-3.38
Er  0.9611  0.8421  0.2695  3 Er 3.29-3.50, 2 Tb 3.48-3.59, 2 La 3.52-3.65

=====

No. 2
The following is a PBE-GGA calculation of a relaxed Ta2BeCl crystal, from Alexandria via LeMat-Bulk.

Calculated volume in Å³ per atom: 16.5
Raw formation energy in eV/atom: 1.02
Total magnetization in μB per atom: 0.143
SG: F-43m
Fermi-level density of states in states/eV per cell: 5.43

Cell: 4.5376 4.5376 4.5376 Å, 60.00 60.00 60.00°
Last column: nearest neighbours and their distance in Å.
Atoms (fractional coordinates):
Be  0.5000  0.5000  0.5000  4 Cl 2.78, 4 Ta 2.78
Cl  0.7500  0.7500  0.7500  4 Ta 2.78, 4 Be 2.78
Ta  0.0000  0.0000  0.0000  4 Ta 2.78, 4 Cl 2.78
Ta  0.2500  0.2500  0.2500  4 Be 2.78, 4 Ta 2.78

=====

VASP energy / eV per atom: -4.493; -6.301